A relaxed structure of PuZrPdO6, computed with PBE.

The calculation puts the density of states at the Fermi level at 13.81 states/eV per cell. Its total magnetization is 6.86 Bohr magnetons per cell. For the raw formation energy, the calculation gives -2074 meV/atom. As for the crystal system: trigonal.

The structure belongs to space group P-31c (No. 163); the cell edges are 5.5740, 5.5740 and 9.0125 Å and the angles 90.00°, 90.00° and 120.00°. The distinct sites, in fractional coordinates, are Pu at (0.3333, 0.6667, 0.2500), Zr at (0.3333, 0.6667, 0.7500), Pd at (0.0000, 0.0000, 0.0000) and O at (0.0070, 0.3510, 0.1326).

***

A relaxed structure of Rb3Pd2O4, computed with PBE.

The calculation puts the density of states at the Fermi level at 16.42 states/eV per cell. Its total magnetization is 4.26 Bohr magnetons per cell. For the raw formation energy, the calculation gives -828 meV/atom. As for the crystal system: monoclinic.

The structure belongs to space group C2/c (No. 15); the cell edges are 10.3472, 11.4923 and 6.1717 Å and the angles 90.00°, 101.98° and 90.00°. The distinct sites, in fractional coordinates, are Rb at (0.0000, 0.0785, 0.2500), Rb at (0.0956, 0.3474, 0.5179), Pd at (0.2384, 0.1152, 0.9606), O at (0.2072, 0.2368, 0.1811) and O at (0.2377, 0.0272, 0.6629).

***

VASP energy / eV per atom: -8.50; -4.51